No. 1
16
Lattice="4.277 0.000 0.000 0.000 4.720 0.000 0.000 0.000 10.896" Properties=species:S:1:pos:R:3 comment="PBE CrIr2Rh, optimized geometry" spacegroup="No. 62" e_tot_ev_per_atom=-8.82 magnetic_moment_mub_per_fu=0.00 vol_a3_per_cell=220 pbc="T T T"
Ir 1.069 2.740 4.758
Ir 1.069 2.799 2.101
Cr 1.069 0.374 8.872
Rh 3.208 4.333 4.719
Ir 3.208 1.921 8.795
Ir 1.069 0.439 3.347
Rh 1.069 0.387 6.177
Ir 1.069 0.380 0.690
Rh 3.208 1.973 0.729
Cr 3.208 4.346 2.023
Ir 3.208 4.340 10.206
Cr 1.069 2.733 7.471
Rh 1.069 2.747 10.167
Ir 3.208 4.281 7.548
Cr 3.208 1.986 3.424
Ir 3.208 1.980 6.138


No. 2
16
Lattice="-3.669 -2.082 7.573 -6.989 -2.827 -4.279 7.729 -3.140 -1.968" Properties=species:S:1:pos:R:3 comment="PBE Cs2HoInS4, optimized geometry" spacegroup="No. 74" e_tot_ev_per_atom=-4.38 magnetic_moment_mub_per_fu=0.00 vol_a3_per_cell=458 pbc="T T T"
S -4.558 -2.610 4.922
Cs -1.835 -1.041 3.787
S -2.094 -3.837 -2.106
Cs 2.030 -2.611 2.803
S -3.694 -5.383 1.641
S 0.765 -2.667 -0.315
S -0.835 -4.212 3.432
S -2.368 -1.389 0.483
In 4.060 -5.223 5.606
In -1.465 -4.025 0.663
Ho -3.299 -5.066 4.450
S -0.561 -6.660 0.843
Ho -3.495 -1.413 -2.140
S 1.628 -5.439 -3.596
Cs -5.329 -2.455 1.647
Cs 3.864 -1.570 -0.984


No. 3
10
Lattice="-2.717 1.773 -7.110 -3.153 -7.128 -0.572 -3.587 1.447 1.731" Properties=species:S:1:pos:R:3 comment="PBE Sr2MgP2, optimized geometry" spacegroup="No. 127" e_tot_ev_per_atom=-3.90 magnetic_moment_mub_per_fu=0.05 vol_a3_per_cell=259 pbc="T T T"
Sr -6.242 -4.245 -4.197
Sr -3.214 0.337 -1.754
P -3.517 -5.335 -2.827
Sr -5.247 -0.302 -5.431
Mg 0.000 0.000 0.000
P -4.367 -3.298 -6.289
Sr -4.209 -3.606 -0.520
P -2.352 -0.020 -4.855
P -1.503 -2.057 -1.393
Mg -2.935 -2.678 -3.841


No. 4
8
Lattice="-4.045 -1.294 -0.056 0.121 -0.693 7.307 -2.071 6.337 3.099" Properties=species:S:1:pos:R:3 comment="PBE La2DyHoAs4, optimized geometry" spacegroup="No. 10" e_tot_ev_per_atom=-6.25 magnetic_moment_mub_per_fu=0.00 vol_a3_per_cell=216 pbc="T T T"
As -4.520 0.074 2.634
Dy -0.975 2.822 5.203
As -2.460 0.453 6.139
La -2.071 6.337 3.099
As -3.535 3.897 4.212
La -3.058 2.521 1.522
Ho -1.962 -0.994 3.626
As -1.475 4.276 7.717


No. 5
4
Lattice="-5.058 -5.288 7.960 -4.476 -7.668 6.171 -2.381 -6.704 8.142" Properties=species:S:1:pos:R:3 comment="PBE KHg2Os, optimized geometry" spacegroup="No. 166" de_polymorph_mev_per_atom=187 magnetic_moment_mub_per_fu=0.74 vol_a3_per_cell=85 pbc="T T T"
Hg -0.106 -0.174 0.197
Os -8.936 -14.745 16.706
K -2.979 -4.915 5.569
Hg -5.852 -9.656 10.940


No. 6
5
Lattice="-2.893 2.462 3.635 -1.599 -5.493 2.447 7.135 0.942 1.238" Properties=species:S:1:pos:R:3 comment="PBE CsNa2Cd2, optimized geometry" spacegroup="No. 12" de_polymorph_mev_per_atom=0 magnetic_moment_mub_per_fu=0.00 vol_a3_per_cell=211 pbc="T T T"
Cd 1.552 -3.767 3.787
Na -0.467 -1.143 4.204
Cd 1.090 1.678 3.534
Cs 0.000 0.000 0.000
Na 3.110 -0.946 3.116


No. 7
4
Lattice="4.888 0.000 0.000 2.444 4.233 0.000 2.444 1.411 3.991" Properties=species:S:1:pos:R:3 comment="PBE PuScGePt, optimized geometry" spacegroup="No. 216" e_tot_ev_per_atom=-8.51 magnetic_moment_mub_per_fu=5.21 vol_a3_per_cell=83 pbc="T T T"
Pu 2.444 1.411 0.998
Pt 4.888 2.822 1.995
Sc 7.331 4.233 2.993
Ge 0.000 0.000 0.000


No. 8
12
Lattice="3.973 0.000 0.000 0.000 8.247 0.246 0.000 -1.924 8.420" Properties=species:S:1:pos:R:3 comment="PBE Y3InHS, optimized geometry" spacegroup="No. 11" e_tot_ev_per_atom=-5.91 magnetic_moment_mub_per_fu=0.00 vol_a3_per_cell=278 pbc="T T T"
Y 2.979 0.459 4.577
S 0.993 5.120 1.423
H 0.993 -0.468 5.086
In 0.993 0.923 2.157
H 2.979 6.791 3.581
Y 0.993 3.086 7.086
S 2.979 1.202 7.244
Y 0.993 -0.697 7.383
In 2.979 5.399 6.509
Y 0.993 5.863 4.089
Y 2.979 3.236 1.580
Y 2.979 7.019 1.283


No. 9
13
Lattice="5.863 0.000 0.780 0.000 8.127 0.000 -1.419 -4.063 10.503" Properties=species:S:1:pos:R:3 comment="PBE Ac3Pr8Y2, optimized geometry" spacegroup="No. 12" e_tot_ev_per_atom=-4.64 magnetic_moment_mub_per_fu=0.00 vol_a3_per_cell=509 pbc="T T T"
Pr 1.831 1.642 8.495
Ac 2.931 0.000 0.390
Y 2.230 0.000 5.413
Pr -1.023 4.063 7.645
Pr 5.467 0.000 3.637
Pr 1.831 -1.642 8.495
Pr 2.613 2.421 2.788
Ac 0.000 2.317 0.000
Pr -0.492 4.063 3.784
Ac 0.000 5.809 0.000
Pr 2.613 5.706 2.788
Y 2.214 4.063 5.869
Pr 4.936 0.000 7.498


No. 10
4
Lattice="5.419 0.002 -0.001 1.683 5.150 0.001 -2.720 -3.722 2.848" Properties=species:S:1:pos:R:3 comment="PBE Ta2TeSe, optimized geometry" spacegroup="No. 71" de_polymorph_mev_per_atom=761 magnetic_moment_mub_per_fu=0.00 vol_a3_per_cell=79 pbc="T T T"
Ta 0.165 0.120 0.000
Ta 3.386 2.456 0.000
Se 1.257 2.003 1.424
Te 3.125 -0.572 1.424


No. 11
5
Lattice="4.869 0.000 0.000 0.000 4.869 0.000 0.000 0.000 4.869" Properties=species:S:1:pos:R:3 comment="PBE Ta3InOs, optimized geometry" spacegroup="No. 221" de_polymorph_mev_per_atom=0 magnetic_moment_mub_per_fu=0.00 vol_a3_per_cell=115 pbc="T T T"
Ta 0.000 0.000 2.434
Ta 2.434 0.000 0.000
Os 0.000 0.000 0.000
In 2.434 2.434 2.434
Ta 0.000 2.434 0.000


No. 12
9
Lattice="-2.091 -2.742 0.938 3.136 -2.939 -8.373 3.970 -1.772 10.428" Properties=species:S:1:pos:R:3 comment="PBE Tb2Sm2Tm5, optimized geometry" spacegroup="No. 2" de_polymorph_mev_per_atom=0 magnetic_moment_mub_per_fu=0.00 vol_a3_per_cell=282 pbc="T T T"
Tb 1.395 -2.877 -5.272
Tm 2.331 -5.017 -2.643
Sm 4.072 -5.301 0.373
Tm 2.679 -2.217 -0.503
Tm 2.336 -5.235 3.496
Tb 3.619 -4.575 8.265
Tm 0.000 0.000 0.000
Tm 2.684 -2.435 5.636
Sm 0.943 -2.151 2.619


> What is the formula in the fourth record?

La2DyHoAs4